# OsW3 PBE relaxed
# - Formation energy from the elements: 274.7 meV/atom
# - VASP energy: -97.98 eV per cell
# - V: 15.8 Å³ per atom
data_OsW3
_chemical_formula_sum 'Os2 W6'
_space_group_name_H-M_alt 'C m m m'
_space_group_IT_number 65
_space_group_name_Hall '-C 2 2'
_cell_length_a 5.656
_cell_length_b 7.842
_cell_length_c 2.857
_cell_angle_alpha 90.00
_cell_angle_beta 90.00
_cell_angle_gamma 90.00
loop_
_atom_site_label
_atom_site_type_symbol
_atom_site_fract_x
_atom_site_fract_y
_atom_site_fract_z
Os1 Os 0.000 0.000 0.000
W1 W 0.000 0.500 0.000
W2 W 0.250 0.250 0.500

---

# Os3W2 PBE relaxed
# - Formation energy from the elements: 562.5 meV/atom
# - VASP energy: -170.35 eV per cell
# - V: 16.5 Å³ per atom
data_Os3W2
_chemical_formula_sum 'Os9 W6'
_space_group_name_H-M_alt 'R -3 m'
_space_group_IT_number 166
_space_group_name_Hall '-R 3 2"'
_cell_length_a 5.0993
_cell_length_b 5.0993
_cell_length_c 10.9740
_cell_angle_alpha 90.00
_cell_angle_beta 90.00
_cell_angle_gamma 120.00
loop_
_atom_site_label
_atom_site_type_symbol
_atom_site_fract_x
_atom_site_fract_y
_atom_site_fract_z
Os1 Os 0.0000 0.5000 0.0000
W1 W 0.0000 0.0000 0.1204

---

# Os3W PBE relaxed
# - Formation energy from the elements: 30.3 meV/atom
# - VASP energy: -186.09 eV per cell
# - V: 14.8 Å³ per atom
data_Os3W
_chemical_formula_sum 'Os12 W4'
_space_group_name_H-M_alt 'I 4/m m m'
_space_group_IT_number 139
_space_group_name_Hall '-I 4 2'
_cell_length_a 3.888
_cell_length_b 3.888
_cell_length_c 15.633
_cell_angle_alpha 90.00
_cell_angle_beta 90.00
_cell_angle_gamma 90.00
loop_
_atom_site_label
_atom_site_type_symbol
_atom_site_fract_x
_atom_site_fract_y
_atom_site_fract_z
Os1 Os 0.000 0.000 0.126
Os2 Os 0.000 0.500 0.000
Os3 Os 0.000 0.500 0.250
W1 W 0.000 0.000 0.376

---

# Os4W3 PBE relaxed
# - Formation energy from the elements: 488.1 meV/atom
# - VASP energy: -80.36 eV per cell
# - V: 15.7 Å³ per atom
data_Os4W3
_chemical_formula_sum 'Os4 W3'
_space_group_name_H-M_alt 'P 6/m m m'
_space_group_IT_number 191
_space_group_name_Hall '-P 6 2'
_cell_length_a 5.0636
_cell_length_b 5.0636
_cell_length_c 4.9417
_cell_angle_alpha 90.00
_cell_angle_beta 90.00
_cell_angle_gamma 120.00
loop_
_atom_site_label
_atom_site_type_symbol
_atom_site_fract_x
_atom_site_fract_y
_atom_site_fract_z
Os1 Os 0.0000 0.0000 0.2416
Os2 Os 0.3333 0.6667 0.0000
W1 W 0.0000 0.5000 0.5000

---

# OsW PBE relaxed
# - Formation energy from the elements: 79.7 meV/atom
# - VASP energy: -96.09 eV per cell
# - V: 15.3 Å³ per atom
data_OsW
_chemical_formula_sum 'Os4 W4'
_space_group_name_H-M_alt 'P n m a'
_space_group_IT_number 62
_space_group_name_Hall '-P 2ac 2n'
_cell_length_a 4.958
_cell_length_b 4.461
_cell_length_c 5.546
_cell_angle_alpha 90.00
_cell_angle_beta 90.00
_cell_angle_gamma 90.00
loop_
_atom_site_label
_atom_site_type_symbol
_atom_site_fract_x
_atom_site_fract_y
_atom_site_fract_z
Os1 Os 0.086 0.250 0.129
W1 W 0.112 0.250 0.614

---

# OsW5 PBE relaxed
# - Formation energy from the elements: 121.2 meV/atom
# - VASP energy: -150.54 eV per cell
# - V: 15.9 Å³ per atom
data_OsW5
_chemical_formula_sum 'Os2 W10'
_space_group_name_H-M_alt 'C 1 2/m 1'
_space_group_IT_number 12
_space_group_name_Hall '-C 2y'
_cell_length_a 9.974
_cell_length_b 3.182
_cell_length_c 6.348
_cell_angle_alpha 90.00
_cell_angle_beta 108.65
_cell_angle_gamma 90.00
loop_
_atom_site_label
_atom_site_type_symbol
_atom_site_fract_x
_atom_site_fract_y
_atom_site_fract_z
Os1 Os 0.000 0.000 0.000
W1 W 0.000 0.000 0.500
W2 W 0.166 0.500 0.335
W3 W 0.171 0.500 0.833

---

# Os2W3 PBE relaxed
# - Formation energy from the elements: 212.1 meV/atom
# - VASP energy: -180.78 eV per cell
# - V: 15.5 Å³ per atom
data_Os2W3
_chemical_formula_sum 'Os6 W9'
_space_group_name_H-M_alt 'R -3 m'
_space_group_IT_number 166
_space_group_name_Hall '-R 3 2"'
_cell_length_a 2.7783
_cell_length_b 2.7783
_cell_length_c 34.8670
_cell_angle_alpha 90.00
_cell_angle_beta 90.00
_cell_angle_gamma 120.00
loop_
_atom_site_label
_atom_site_type_symbol
_atom_site_fract_x
_atom_site_fract_y
_atom_site_fract_z
Os1 Os 0.0000 0.0000 0.1005
W1 W 0.0000 0.0000 0.2978
W2 W 0.0000 0.0000 0.5000

---

# Os3W PBE relaxed
# - Formation energy from the elements: 0.9 meV/atom
# - VASP energy: -186.56 eV per cell
# - V: 14.8 Å³ per atom
data_Os3W
_chemical_formula_sum 'Os12 W4'
_space_group_name_H-M_alt 'C m c m'
_space_group_IT_number 63
_space_group_name_Hall '-C 2c 2'
_cell_length_a 5.562
_cell_length_b 9.593
_cell_length_c 4.423
_cell_angle_alpha 90.00
_cell_angle_beta 90.00
_cell_angle_gamma 90.00
loop_
_atom_site_label
_atom_site_type_symbol
_atom_site_fract_x
_atom_site_fract_y
_atom_site_fract_z
Os1 Os 0.000 0.081 0.250
Os2 Os 0.246 0.163 0.750
W1 W 0.000 0.413 0.750